No. 1
The following is a DFT calculation (PBE-GGA) of a geometry-optimized BaLiGaPd structure.

Calculated values
- SG: Cm (8)
- M_tot: 0.00 μB per formula unit
- Energy of formation from the pure elements: -0.502 eV/atom

a b c (Å): 4.5134 4.5347 6.2307
angles (deg): 111.43 90.00 119.85
With the nearest neighbours (Å) after each atom.
Fractional coordinates of all 4 atoms:
Ba: 0.6254 0.2507 0.5157  1 Li 3.12, 1 Pd 3.31
Li: 0.8081 0.6163 0.0672  3 Ga 2.69-2.70, 3 Pd 2.72-2.74
Ga: 0.1040 0.2080 0.9538  3 Pd 2.62, 3 Li 2.69-2.70
Pd: 0.4288 0.8576 0.9306  3 Ga 2.62, 3 Li 2.72-2.74

=====

No. 2
The following is a DFT calculation (PBE-GGA) of a geometry-optimized SrPmRh structure.

Calculated values
- SG: C2/m (12)
- Energy above the most stable polymorph in this dataset: 23.7 meV per atom
- M_tot: 0.00 μB per formula unit
- Energy of formation from the pure elements: -0.425 eV/atom

a b c (Å): 4.9269 4.9317 7.5216
angles (deg): 89.96 89.94 90.00
With the nearest neighbours (Å) after each atom.
Fractional coordinates of all 6 atoms:
Sr: 0.8134 0.8664 0.5409  1 Rh 3.15
Sr: 0.3138 0.3666 0.2983  1 Rh 3.15
Pm: 0.8137 0.3664 0.9196  4 Rh 2.89-2.90
Pm: 0.3135 0.8665 0.9196  4 Rh 2.89-2.90
Rh: 0.8129 0.8661 0.1219  4 Pm 2.89-2.90, 1 Sr 3.15
Rh: 0.3142 0.3669 0.7173  4 Pm 2.89-2.90, 1 Sr 3.15

=====

No. 3
The following is a DFT calculation (PBE-GGA) of a geometry-optimized K2Au structure.

Calculated values
- SG: Fd-3m (227)
- M_tot: 0.00 μB per formula unit
- Energy of formation from the pure elements: 0.229 eV/atom

a b c (Å): 6.9873 6.9873 6.9873
angles (deg): 60.00 60.00 60.00
With the nearest neighbours (Å) after each atom.
Fractional coordinates of all 6 atoms:
K: 0.6250 0.1250 0.1250  6 K 3.49
K: 0.1250 0.6250 0.1250  6 K 3.49
K: 0.1250 0.1250 0.6250  6 K 3.49
K: 0.1250 0.1250 0.1250  6 K 3.49
Au: 0.5000 0.5000 0.5000  12 K 4.10, 4 Au 4.28
Au: 0.7500 0.7500 0.7500  12 K 4.10, 4 Au 4.28

=====

No. 4
The following is a DFT calculation (PBE-GGA) of a geometry-optimized BeCuO2 structure.

Calculated values
- SG: R-3m (166)
- M_tot: 1.00 μB per formula unit
- Energy relative to the elements, uncorrected: -1.10 eV per atom

a b c (Å): 5.3101 5.3101 5.3101
angles (deg): 33.98 33.98 33.98
With the nearest neighbours (Å) after each atom.
Fractional coordinates of all 4 atoms:
Be: 0.0000 0.0000 0.0000  2 O 1.44
O: 0.9042 0.9042 0.9042  1 Be 1.44
O: 0.0958 0.0958 0.0958  1 Be 1.44
Cu: 0.5000 0.5000 0.5000  6 O 2.08

=====

No. 5
The following is a DFT calculation (PBE-GGA) of a geometry-optimized InNi2W structure.

Calculated values
- SG: Pm (6)
- M_tot: 0.00 μB per formula unit
- Energy of formation from the pure elements: 0.139 eV/atom

a b c (Å): 4.2008 2.7451 5.1870
angles (deg): 74.52 90.00 90.00
With the nearest neighbours (Å) after each atom.
Fractional coordinates of all 4 atoms:
In: 0.5000 0.7884 0.8004  7 Ni 2.63-2.74, 2 In 2.75
Ni: 0.0000 0.1965 0.9838  4 Ni 2.56-2.75, 3 W 2.66-2.71, 4 In 2.67
Ni: 0.5000 0.0503 0.2749  4 Ni 2.56-2.75, 3 In 2.63-2.74, 4 W 2.64-2.65
W: 0.0000 0.4648 0.4409  7 Ni 2.64-2.71, 2 W 2.75

=====

No. 6
The following is a DFT calculation (PBE-GGA) of a geometry-optimized TeP3Ru structure.

Calculated values
- SG: Pm-3m (221)
- Energy above the most stable polymorph in this dataset: 0.0 meV per atom
- M_tot: 0.00 μB per formula unit
- Energy relative to the elements, uncorrected: 0.51 eV per atom

a b c (Å): 4.6212 4.6212 4.6212
angles (deg): 90.00 90.00 90.00
With the nearest neighbours (Å) after each atom.
Fractional coordinates of all 5 atoms:
Ru: 0.0000 0.0000 0.0000  6 P 2.31
Te: 0.5000 0.5000 0.5000  12 P 3.27
P: 0.0000 0.5000 0.0000  2 Ru 2.31
P: 0.0000 0.0000 0.5000  2 Ru 2.31
P: 0.5000 0.0000 0.0000  2 Ru 2.31

=====

No. 7
The following is a DFT calculation (PBE-GGA) of a geometry-optimized Dy2AlAu4 structure.

Calculated values
- SG: C2/m (12)
- M_tot: 0.00 μB per formula unit
- Energy of formation from the pure elements: -0.728 eV/atom

a b c (Å): 4.5490 4.5490 9.9467
angles (deg): 62.98 62.98 59.42
With the nearest neighbours (Å) after each atom.
Fractional coordinates of all 7 atoms:
Au: 0.6279 0.6279 0.5566  4 Au 2.78-2.99, 3 Dy 2.97-2.98
Au: 0.3721 0.3721 0.4434  4 Au 2.78-2.99, 3 Dy 2.97-2.98
Au: 0.6070 0.6070 0.0906  3 Al 2.72-2.74, 3 Au 2.99-3.03
Au: 0.3930 0.3930 0.9094  3 Al 2.72-2.74, 3 Au 2.99-3.03
Al: 0.0000 0.0000 0.0000  6 Au 2.72-2.74
Dy: 0.8481 0.8481 0.7232  7 Au 2.97-3.11
Dy: 0.1519 0.1519 0.2768  7 Au 2.97-3.11

=====

No. 8
The following is a DFT calculation (PBE-GGA) of a geometry-optimized Cs4UTe4 structure.

Calculated values
- SG: I-42m (121)
- Energy above the most stable polymorph in this dataset: 0.0 meV per atom
- M_tot: 2.00 μB per formula unit
- Energy relative to the elements, uncorrected: -0.91 eV per atom

a b c (Å): 7.9638 9.6652 7.9638
angles (deg): 65.67 90.00 114.33
With the nearest neighbours (Å) after each atom.
Fractional coordinates of all 9 atoms:
Cs: 0.1573 0.7165 0.4408  6 Te 3.91-4.14, 1 U 4.04
Cs: 0.5592 0.7165 0.8427  6 Te 3.91-4.14, 1 U 4.04
Cs: 0.4408 0.2835 0.5592  6 Te 3.91-4.14, 1 U 4.04
Cs: 0.8427 0.2835 0.1573  6 Te 3.91-4.14, 1 U 4.04
U: 0.0000 0.0000 0.0000  4 Te 2.92
Te: 0.3188 0.2189 0.0999  1 U 2.92
Te: 0.9001 0.2189 0.6812  1 U 2.92
Te: 0.0999 0.7811 0.9001  1 U 2.92
Te: 0.6812 0.7811 0.3188  1 U 2.92

=====

No. 9
The following is a DFT calculation (PBE-GGA) of a geometry-optimized RbAg2Pt4 structure.

Calculated values
- SG: I4/mmm (139)
- M_tot: 0.00 μB per formula unit
- Energy of formation from the pure elements: 1.645 eV/atom

a b c (Å): 5.0204 5.0204 8.0366
angles (deg): 71.80 71.80 90.00
With the nearest neighbours (Å) after each atom.
Fractional coordinates of all 7 atoms:
Rb: 0.0000 0.0000 0.0000  4 Pt 2.51
Ag: 0.5951 0.5951 0.8098  5 Pt 2.58-2.86, 1 Ag 2.74
Ag: 0.4049 0.4049 0.1902  5 Pt 2.58-2.86, 1 Ag 2.74
Pt: 0.7743 0.7743 0.4515  1 Ag 2.58
Pt: 0.2257 0.2257 0.5485  1 Ag 2.58
Pt: 0.0000 0.5000 0.0000  2 Rb 2.51
Pt: 0.5000 0.0000 0.0000  2 Rb 2.51

=====

No. 10
The following is a DFT calculation (PBE-GGA) of a geometry-optimized YBe2PPt structure.

Calculated values
- SG: P4/mmm (123)
- M_tot: 0.00 μB per formula unit
- Energy of formation from the pure elements: -0.139 eV/atom

a b c (Å): 4.2365 5.5361 4.2365
angles (deg): 90.00 90.00 90.00
With the nearest neighbours (Å) after each atom.
Fractional coordinates of all 5 atoms:
Y: 0.0000 0.5000 0.0000  2 Pt 2.77, 4 P 3.00
P: 0.5000 0.5000 0.5000  4 Y 3.00
Pt: 0.0000 0.0000 0.0000  4 Be 2.12
Be: 0.0000 0.0000 0.5000  2 Pt 2.12
Be: 0.5000 0.0000 0.0000  2 Pt 2.12

=====

No. 11
The following is a DFT calculation (PBE-GGA) of a geometry-optimized TcB2W structure.

Calculated values
- SG: Fm-3m (225)
- Energy above the most stable polymorph in this dataset: 428.3 meV per atom
- M_tot: 0.00 μB per formula unit
- Energy of formation from the pure elements: 0.252 eV/atom

a b c (Å): 3.9146 3.9146 3.9146
angles (deg): 60.00 60.00 60.00
With the nearest neighbours (Å) after each atom.
Fractional coordinates of all 4 atoms:
B: 0.2500 0.2500 0.2500  4 W 2.40, 4 Tc 2.40
B: 0.7500 0.7500 0.7500  4 W 2.40, 4 Tc 2.40
Tc: 0.0000 0.0000 0.0000  8 B 2.40
W: 0.5000 0.5000 0.5000  8 B 2.40

=====

No. 12
The following is a DFT calculation (PBE-GGA) of a geometry-optimized SrAcLa2 structure.

Calculated values
- SG: R3m (160)
- Energy above the most stable polymorph in this dataset: 15.1 meV per atom
- M_tot: 0.00 μB per formula unit
- Energy of formation from the pure elements: 0.086 eV/atom

a b c (Å): 3.8898 3.8898 13.1762
angles (deg): 81.51 81.51 60.00
With the nearest neighbours (Å) after each atom.
Fractional coordinates of all 4 atoms:
Sr: 0.6670 0.6670 0.9989  6 Sr 3.89, 6 La 4.04-4.07
Ac: 0.4999 0.4999 0.5003  6 La 3.84, 6 Ac 3.89
La: 0.0866 0.0866 0.7402  3 Ac 3.84, 6 La 3.89, 3 Sr 4.04
La: 0.2465 0.2465 0.2606  3 Ac 3.84, 6 La 3.89, 3 Sr 4.07

=====

> M_tot of number 1 (BaLiGaPd)?

0.00 μB per formula unit